Record 1
# GGA-PBE CrCd2Hg, relaxed
data_CrCd2Hg
_chemical_formula_sum 'Cr1 Cd2 Hg1'
_space_group_name_H-M_alt 'P 1 m 1'
_space_group_IT_number 6
_cell_length_a 3.091
_cell_length_b 4.494
_cell_length_c 6.154
_cell_angle_alpha 90.00
_cell_angle_beta 102.52
_cell_angle_gamma 90.00
loop_
_space_group_symop_operation_xyz
'x,y,z'
'x,-y,z'
loop_
_atom_site_label
_atom_site_type_symbol
_atom_site_fract_x
_atom_site_fract_y
_atom_site_fract_z
Cr1 Cr 0.000 0.000 0.000
Cd1 Cd 0.361 0.500 0.715
Cd2 Cd 0.766 0.000 0.495
Hg1 Hg 0.581 0.500 0.193
# Total DFT energy (no corrections), eV/atom: -2.6488
# Total moment, μB/f.u.: 4.027


Record 2
# GGA-PBE CrCdHgI2, relaxed
data_CrCdHgI2
_chemical_formula_sum 'Cr1 Cd1 Hg1 I2'
_space_group_name_H-M_alt 'P 4/m m m'
_space_group_IT_number 123
_space_group_name_Hall '-P 4 2'
_cell_length_a 5.566
_cell_length_b 5.566
_cell_length_c 5.673
_cell_angle_alpha 90.00
_cell_angle_beta 90.00
_cell_angle_gamma 90.00
loop_
_atom_site_label
_atom_site_type_symbol
_atom_site_fract_x
_atom_site_fract_y
_atom_site_fract_z
Cr1 Cr 0.000 0.000 0.000
Cd1 Cd 0.500 0.500 0.500
Hg1 Hg 0.000 0.000 0.500
I1 I 0.000 0.500 0.000
# Total DFT energy (no corrections), eV/atom: -2.7221
# Uncorrected formation energy, eV per atom: 0.066
# Total moment, μB/f.u.: 4.049


Record 3
# GGA-PBE MnCrCdHg2, relaxed
data_MnCrCdHg2
_chemical_formula_sum 'Mn1 Cr1 Cd1 Hg2'
_space_group_name_H-M_alt 'P 4/m m m'
_space_group_IT_number 123
_space_group_name_Hall '-P 4 2'
_cell_length_a 5.223
_cell_length_b 5.223
_cell_length_c 5.035
_cell_angle_alpha 90.00
_cell_angle_beta 90.00
_cell_angle_gamma 90.00
loop_
_atom_site_label
_atom_site_type_symbol
_atom_site_fract_x
_atom_site_fract_y
_atom_site_fract_z
Mn1 Mn 0.000 0.000 0.000
Cr1 Cr 0.500 0.500 0.000
Cd1 Cd 0.000 0.000 0.500
Hg1 Hg 0.000 0.500 0.500
# Total DFT energy (no corrections), eV/atom: -2.4457
# Total moment, μB/f.u.: 3.634


Record 4
# GGA-PBE RbCrCdHg2, relaxed
data_RbCrCdHg2
_chemical_formula_sum 'Rb1 Cr1 Cd1 Hg2'
_space_group_name_H-M_alt 'P 4/m m m'
_space_group_IT_number 123
_space_group_name_Hall '-P 4 2'
_cell_length_a 5.744
_cell_length_b 5.744
_cell_length_c 5.473
_cell_angle_alpha 90.00
_cell_angle_beta 90.00
_cell_angle_gamma 90.00
loop_
_atom_site_label
_atom_site_type_symbol
_atom_site_fract_x
_atom_site_fract_y
_atom_site_fract_z
Rb1 Rb 0.000 0.000 0.000
Cr1 Cr 0.500 0.500 0.000
Cd1 Cd 0.500 0.500 0.500
Hg1 Hg 0.000 0.500 0.500
# Total DFT energy (no corrections), eV/atom: -2.0335
# Total moment, μB/f.u.: 4.994


Record 5
# GGA-PBE CrCd2HgSb, relaxed
data_CrCd2HgSb
_chemical_formula_sum 'Cr1 Cd2 Hg1 Sb1'
_space_group_name_H-M_alt 'P 4/m m m'
_space_group_IT_number 123
_space_group_name_Hall '-P 4 2'
_cell_length_a 5.275
_cell_length_b 5.275
_cell_length_c 5.269
_cell_angle_alpha 90.00
_cell_angle_beta 90.00
_cell_angle_gamma 90.00
loop_
_atom_site_label
_atom_site_type_symbol
_atom_site_fract_x
_atom_site_fract_y
_atom_site_fract_z
Cr1 Cr 0.000 0.000 0.000
Cd1 Cd 0.000 0.500 0.500
Hg1 Hg 0.000 0.000 0.500
Sb1 Sb 0.500 0.500 0.000
# Total DFT energy (no corrections), eV/atom: -2.4514
# Uncorrected formation energy, eV per atom: 0.724
# Total moment, μB/f.u.: 4.325


Record 6
# GGA-PBE CrCdSn2Hg, relaxed
data_CrCdSn2Hg
_chemical_formula_sum 'Cr1 Cd1 Sn2 Hg1'
_space_group_name_H-M_alt 'P 4/m m m'
_space_group_IT_number 123
_space_group_name_Hall '-P 4 2'
_cell_length_a 5.486
_cell_length_b 5.486
_cell_length_c 5.252
_cell_angle_alpha 90.00
_cell_angle_beta 90.00
_cell_angle_gamma 90.00
loop_
_atom_site_label
_atom_site_type_symbol
_atom_site_fract_x
_atom_site_fract_y
_atom_site_fract_z
Cr1 Cr 0.000 0.000 0.000
Cd1 Cd 0.000 0.000 0.500
Sn1 Sn 0.000 0.500 0.500
Hg1 Hg 0.500 0.500 0.000
# Total DFT energy (no corrections), eV/atom: -2.9733
# Total moment, μB/f.u.: 4.256


Record 7
# GGA-PBE Cr2CdHgTe, relaxed
data_Cr2CdHgTe
_chemical_formula_sum 'Cr2 Cd1 Hg1 Te1'
_space_group_name_H-M_alt 'P 4/m m m'
_space_group_IT_number 123
_space_group_name_Hall '-P 4 2'
_cell_length_a 5.300
_cell_length_b 5.300
_cell_length_c 5.477
_cell_angle_alpha 90.00
_cell_angle_beta 90.00
_cell_angle_gamma 90.00
loop_
_atom_site_label
_atom_site_type_symbol
_atom_site_fract_x
_atom_site_fract_y
_atom_site_fract_z
Cr1 Cr 0.000 0.500 0.000
Cd1 Cd 0.000 0.000 0.500
Hg1 Hg 0.500 0.500 0.000
Te1 Te 0.500 0.500 0.500
# Total DFT energy (no corrections), eV/atom: -3.6566
# Uncorrected formation energy, eV per atom: 1.064
# Total moment, μB/f.u.: 9.305


Record 8
# GGA-PBE Ho2CrCd, relaxed
data_Ho2CrCd
_chemical_formula_sum 'Ho2 Cr1 Cd1'
_space_group_name_H-M_alt 'P 4/m m m'
_space_group_IT_number 123
_space_group_name_Hall '-P 4 2'
_cell_length_a 3.545
_cell_length_b 3.545
_cell_length_c 7.666
_cell_angle_alpha 90.00
_cell_angle_beta 90.00
_cell_angle_gamma 90.00
loop_
_atom_site_label
_atom_site_type_symbol
_atom_site_fract_x
_atom_site_fract_y
_atom_site_fract_z
Ho1 Ho 0.000 0.000 0.226
Cr1 Cr 0.500 0.500 0.000
Cd1 Cd 0.500 0.500 0.500
# Total DFT energy (no corrections), eV/atom: -4.9146
# Total moment, μB/f.u.: 3.209
# Distance to the lowest polymorph of the same formula, kJ/mol of formula units: 0.0


Record 9
# GGA-PBE Ho2CrCd, relaxed
data_Ho2CrCd
_chemical_formula_sum 'Ho8 Cr4 Cd4'
_space_group_name_H-M_alt 'F m -3 m'
_space_group_IT_number 225
_space_group_name_Hall '-F 4 2 3'
_cell_length_a 7.296
_cell_length_b 7.296
_cell_length_c 7.296
_cell_angle_alpha 90.00
_cell_angle_beta 90.00
_cell_angle_gamma 90.00
loop_
_atom_site_label
_atom_site_type_symbol
_atom_site_fract_x
_atom_site_fract_y
_atom_site_fract_z
Ho1 Ho 0.250 0.250 0.250
Cr1 Cr 0.000 0.000 0.000
Cd1 Cd 0.000 0.000 0.500
# Total DFT energy (no corrections), eV/atom: -4.8948
# Total moment, μB/f.u.: 3.544
# Distance to the lowest polymorph of the same formula, kJ/mol of formula units: 7.7


Record 10
# GGA-PBE HoLuCrCd, relaxed
data_HoLuCrCd
_chemical_formula_sum 'Ho4 Lu4 Cr4 Cd4'
_space_group_name_H-M_alt 'F -4 3 m'
_space_group_IT_number 216
_space_group_name_Hall 'F -4 2 3'
_cell_length_a 7.244
_cell_length_b 7.244
_cell_length_c 7.244
_cell_angle_alpha 90.00
_cell_angle_beta 90.00
_cell_angle_gamma 90.00
loop_
_atom_site_label
_atom_site_type_symbol
_atom_site_fract_x
_atom_site_fract_y
_atom_site_fract_z
Ho1 Ho 0.000 0.000 0.000
Lu1 Lu 0.000 0.000 0.500
Cr1 Cr 0.250 0.250 0.250
Cd1 Cd 0.250 0.250 0.750
# Total DFT energy (no corrections), eV/atom: -4.8787
# Total moment, μB/f.u.: 3.630


Record 11
# GGA-PBE HoTmCrCd, relaxed
data_HoTmCrCd
_chemical_formula_sum 'Ho4 Tm4 Cr4 Cd4'
_space_group_name_H-M_alt 'F -4 3 m'
_space_group_IT_number 216
_space_group_name_Hall 'F -4 2 3'
_cell_length_a 7.267
_cell_length_b 7.267
_cell_length_c 7.267
_cell_angle_alpha 90.00
_cell_angle_beta 90.00
_cell_angle_gamma 90.00
loop_
_atom_site_label
_atom_site_type_symbol
_atom_site_fract_x
_atom_site_fract_y
_atom_site_fract_z
Ho1 Ho 0.000 0.000 0.000
Tm1 Tm 0.000 0.000 0.500
Cr1 Cr 0.250 0.250 0.250
Cd1 Cd 0.250 0.250 0.750
# Total DFT energy (no corrections), eV/atom: -4.8686
# Total moment, μB/f.u.: 3.582


Record 12
# GGA-PBE CrCd2I, relaxed
data_CrCd2I
_chemical_formula_sum 'Cr4 Cd8 I4'
_space_group_name_H-M_alt 'I -4 2 d'
_space_group_IT_number 122
_space_group_name_Hall 'I -4 2bw'
_cell_length_a 8.746
_cell_length_b 8.746
_cell_length_c 5.836
_cell_angle_alpha 90.00
_cell_angle_beta 90.00
_cell_angle_gamma 90.00
loop_
_atom_site_label
_atom_site_type_symbol
_atom_site_fract_x
_atom_site_fract_y
_atom_site_fract_z
Cr1 Cr 0.000 0.000 0.000
Cd1 Cd 0.214 0.250 0.125
I1 I 0.000 0.000 0.500
# Total DFT energy (no corrections), eV/atom: -2.9045
# Uncorrected formation energy, eV per atom: 0.346
# Total moment, μB/f.u.: 4.740
# Distance to the lowest polymorph of the same formula, kJ/mol of formula units: 0.0


Record 13
# GGA-PBE CrCd2I, relaxed
data_CrCd2I
_chemical_formula_sum 'Cr4 Cd8 I4'
_space_group_name_H-M_alt 'F m -3 m'
_space_group_IT_number 225
_space_group_name_Hall '-F 4 2 3'
_cell_length_a 7.637
_cell_length_b 7.637
_cell_length_c 7.637
_cell_angle_alpha 90.00
_cell_angle_beta 90.00
_cell_angle_gamma 90.00
loop_
_atom_site_label
_atom_site_type_symbol
_atom_site_fract_x
_atom_site_fract_y
_atom_site_fract_z
Cr1 Cr 0.000 0.000 0.000
Cd1 Cd 0.250 0.250 0.250
I1 I 0.000 0.000 0.500
# Total DFT energy (no corrections), eV/atom: -2.5857
# Uncorrected formation energy, eV per atom: 0.665
# Total moment, μB/f.u.: 5.020
# Distance to the lowest polymorph of the same formula, kJ/mol of formula units: 123.0


Record 14
# GGA-PBE CrCd3I, relaxed
data_CrCd3I
_chemical_formula_sum 'Cr1 Cd3 I1'
_space_group_name_H-M_alt 'P m -3 m'
_space_group_IT_number 221
_space_group_name_Hall '-P 4 2 3'
_cell_length_a 5.498
_cell_length_b 5.498
_cell_length_c 5.498
_cell_angle_alpha 90.00
_cell_angle_beta 90.00
_cell_angle_gamma 90.00
loop_
_atom_site_label
_atom_site_type_symbol
_atom_site_fract_x
_atom_site_fract_y
_atom_site_fract_z
Cr1 Cr 0.000 0.000 0.000
Cd1 Cd 0.000 0.000 0.500
I1 I 0.500 0.500 0.500
# Total DFT energy (no corrections), eV/atom: -2.3953
# Uncorrected formation energy, eV per atom: 0.388
# Total moment, μB/f.u.: 4.826
# Distance to the lowest polymorph of the same formula, kJ/mol of formula units: 0.0


Record 15
# GGA-PBE CrCdI2N, relaxed
data_CrCdI2N
_chemical_formula_sum 'Cr1 Cd1 I2 N1'
_space_group_name_H-M_alt 'P 4/m m m'
_space_group_IT_number 123
_space_group_name_Hall '-P 4 2'
_cell_length_a 6.071
_cell_length_b 6.071
_cell_length_c 4.229
_cell_angle_alpha 90.00
_cell_angle_beta 90.00
_cell_angle_gamma 90.00
loop_
_atom_site_label
_atom_site_type_symbol
_atom_site_fract_x
_atom_site_fract_y
_atom_site_fract_z
Cr1 Cr 0.000 0.000 0.000
Cd1 Cd 0.500 0.500 0.500
I1 I 0.000 0.500 0.500
N1 N 0.500 0.500 0.000
# Total DFT energy (no corrections), eV/atom: -3.4542
# Uncorrected formation energy, eV per atom: 0.939
# Total moment, μB/f.u.: 6.752
# Distance to the lowest polymorph of the same formula, kJ/mol of formula units: 397.1


Record 16
# GGA-PBE CrCdIN2, relaxed
data_CrCdIN2
_chemical_formula_sum 'Cr1 Cd1 I1 N2'
_space_group_name_H-M_alt 'P 4/m m m'
_space_group_IT_number 123
_space_group_name_Hall '-P 4 2'
_cell_length_a 4.128
_cell_length_b 4.128
_cell_length_c 6.171
_cell_angle_alpha 90.00
_cell_angle_beta 90.00
_cell_angle_gamma 90.00
loop_
_atom_site_label
_atom_site_type_symbol
_atom_site_fract_x
_atom_site_fract_y
_atom_site_fract_z
Cr1 Cr 0.000 0.000 0.000
Cd1 Cd 0.500 0.500 0.500
I1 I 0.500 0.500 0.000
N1 N 0.000 0.500 0.500
# Total DFT energy (no corrections), eV/atom: -3.3544
# Uncorrected formation energy, eV per atom: 2.393
# Total moment, μB/f.u.: 0.928
# Distance to the lowest polymorph of the same formula, kJ/mol of formula units: 809.4


Record 17
# GGA-PBE CrCd2IN, relaxed
data_CrCd2IN
_chemical_formula_sum 'Cr1 Cd2 I1 N1'
_space_group_name_H-M_alt 'P 4/m m m'
_space_group_IT_number 123
_space_group_name_Hall '-P 4 2'
_cell_length_a 5.397
_cell_length_b 5.397
_cell_length_c 3.774
_cell_angle_alpha 90.00
_cell_angle_beta 90.00
_cell_angle_gamma 90.00
loop_
_atom_site_label
_atom_site_type_symbol
_atom_site_fract_x
_atom_site_fract_y
_atom_site_fract_z
Cr1 Cr 0.000 0.000 0.000
Cd1 Cd 0.000 0.500 0.500
I1 I 0.500 0.500 0.000
N1 N 0.000 0.000 0.500
# Total DFT energy (no corrections), eV/atom: -3.9548
# Uncorrected formation energy, eV per atom: 0.311
# Total moment, μB/f.u.: 3.352


Record 18
# GGA-PBE CrCdI2N, relaxed
data_CrCdI2N
_chemical_formula_sum 'Cr1 Cd1 I2 N1'
_space_group_name_H-M_alt 'P 4/m m m'
_space_group_IT_number 123
_space_group_name_Hall '-P 4 2'
_cell_length_a 5.713
_cell_length_b 5.713
_cell_length_c 3.682
_cell_angle_alpha 90.00
_cell_angle_beta 90.00
_cell_angle_gamma 90.00
loop_
_atom_site_label
_atom_site_type_symbol
_atom_site_fract_x
_atom_site_fract_y
_atom_site_fract_z
Cr1 Cr 0.000 0.000 0.000
Cd1 Cd 0.500 0.500 0.500
I1 I 0.000 0.500 0.000
N1 N 0.000 0.000 0.500
# Total DFT energy (no corrections), eV/atom: -4.2774
# Uncorrected formation energy, eV per atom: 0.115
# Total moment, μB/f.u.: 2.113
# Distance to the lowest polymorph of the same formula, kJ/mol of formula units: 0.0


Record 19
# GGA-PBE CrCdIN2, relaxed
data_CrCdIN2
_chemical_formula_sum 'Cr1 Cd1 I1 N2'
_space_group_name_H-M_alt 'P 4/m m m'
_space_group_IT_number 123
_space_group_name_Hall '-P 4 2'
_cell_length_a 3.931
_cell_length_b 3.931
_cell_length_c 5.973
_cell_angle_alpha 90.00
_cell_angle_beta 90.00
_cell_angle_gamma 90.00
loop_
_atom_site_label
_atom_site_type_symbol
_atom_site_fract_x
_atom_site_fract_y
_atom_site_fract_z
Cr1 Cr 0.000 0.000 0.000
Cd1 Cd 0.500 0.500 0.500
I1 I 0.000 0.000 0.500
N1 N 0.000 0.500 0.000
# Total DFT energy (no corrections), eV/atom: -5.0321
# Uncorrected formation energy, eV per atom: 0.716
# Total moment, μB/f.u.: 0.313
# Distance to the lowest polymorph of the same formula, kJ/mol of formula units: 0.0